# HgTe (PBE, optimized geometry)
data_HgTe
_chemical_formula_sum 'Hg1 Te1'
_cell_length_a 3.2827
_cell_length_b 3.2827
_cell_length_c 5.9711
_cell_angle_alpha 90.00
_cell_angle_beta 90.00
_cell_angle_gamma 120.00
_symmetry_space_group_name_H-M 'P -6 m 2'
_symmetry_Int_Tables_number 187
_symmetry_space_group_name_Hall 'P -6 2'
loop_
_atom_site_label
_atom_site_type_symbol
_atom_site_fract_x
_atom_site_fract_y
_atom_site_fract_z
_atom_site_occupancy
Hg1 Hg 0.0000 0.0000 0.0000 1
Te1 Te 0.6667 0.3333 0.5000 1
# uncorrected energy = -1.47 eV/atom

---

# Tl2HgTe (PBE, optimized geometry)
data_Tl2HgTe
_chemical_formula_sum 'Tl8 Hg4 Te4'
_cell_length_a 7.8709
_cell_length_b 7.8709
_cell_length_c 7.8709
_cell_angle_alpha 90.00
_cell_angle_beta 90.00
_cell_angle_gamma 90.00
_symmetry_space_group_name_H-M 'F -4 3 m'
_symmetry_Int_Tables_number 216
_symmetry_space_group_name_Hall 'F -4 2 3'
loop_
_atom_site_label
_atom_site_type_symbol
_atom_site_fract_x
_atom_site_fract_y
_atom_site_fract_z
_atom_site_occupancy
Tl1 Tl 0.0000 0.0000 0.0000 1
Tl2 Tl 0.2500 0.2500 0.2500 1
Hg1 Hg 0.2500 0.2500 0.7500 1
Te1 Te 0.0000 0.0000 0.5000 1
# uncorrected energy = -2.13 eV/atom